! LiNi2Rh, PBEsol geometry, DFT meta-GGA SCAN; values from VASP
! Crystal system: monoclinic
! Symmetry: Cm (8)
! Raw total energy: -17.143 eV per atom
! Formation energy from the elements: -16 meV per atom
&SYSTEM
  ibrav = 0, nat = 4, ntyp = 3
/
ATOMIC_SPECIES
Li 6.94 Li.upf
Ni 58.69 Ni.upf
Rh 102.91 Rh.upf
CELL_PARAMETERS angstrom
4.227 -1.270 0.000
4.227 1.270 0.000
-0.804 0.000 4.283
ATOMIC_POSITIONS crystal
Li 0.000 0.000 0.000
Ni 0.491 0.491 0.492
Ni 0.756 0.756 0.218
Rh 0.237 0.237 0.706



! La2Ge2Bi, PBEsol geometry, DFT meta-GGA SCAN; values from VASP
! Crystal system: tetragonal
! Symmetry: P4/mbm (127)
! Raw total energy: -41.489 eV per atom
! Formation energy from the elements: -896 meV per atom
&SYSTEM
  ibrav = 0, nat = 10, ntyp = 3
/
ATOMIC_SPECIES
La 138.91 La.upf
Ge 72.64 Ge.upf
Bi 208.98 Bi.upf
CELL_PARAMETERS angstrom
7.717 0.000 0.000
0.000 7.717 0.000
0.000 0.000 4.413
ATOMIC_POSITIONS crystal
La 0.178 0.322 0.000
La 0.322 0.822 0.000
La 0.678 0.178 0.000
La 0.822 0.678 0.000
Ge 0.116 0.616 0.500
Ge 0.384 0.116 0.500
Ge 0.616 0.884 0.500
Ge 0.884 0.384 0.500
Bi 0.000 0.000 0.500
Bi 0.500 0.500 0.500



! BeSnSbN2, PBEsol geometry, DFT meta-GGA SCAN; values from VASP
! Crystal system: tetragonal
! Symmetry: P4/mmm (123)
! Raw total energy: -17.778 eV per atom
&SYSTEM
  ibrav = 0, nat = 5, ntyp = 4
/
ATOMIC_SPECIES
Be 9.01 Be.upf
Sn 118.71 Sn.upf
Sb 121.76 Sb.upf
N 14.01 N.upf
CELL_PARAMETERS angstrom
4.141 0.000 0.000
0.000 4.141 0.000
0.000 0.000 4.699
ATOMIC_POSITIONS crystal
Be 0.000 0.000 0.000
Sn 0.500 0.500 0.000
Sb 0.000 0.000 0.500
N 0.000 0.500 0.500
N 0.500 0.000 0.500



! TcGeTe3, PBEsol geometry, DFT meta-GGA SCAN; values from VASP
! Crystal system: cubic
! Symmetry: Pm-3m (221)
! Raw total energy: -32.099 eV per atom
&SYSTEM
  ibrav = 0, nat = 5, ntyp = 3
/
ATOMIC_SPECIES
Tc 98.00 Tc.upf
Ge 72.64 Ge.upf
Te 127.60 Te.upf
CELL_PARAMETERS angstrom
5.267 0.000 0.000
0.000 5.267 0.000
0.000 0.000 5.267
ATOMIC_POSITIONS crystal
Tc 0.000 0.000 0.000
Ge 0.500 0.500 0.500
Te 0.000 0.500 0.500
Te 0.500 0.000 0.500
Te 0.500 0.500 0.000



! MoIrAu2, PBEsol geometry, DFT meta-GGA SCAN; values from VASP
! Crystal system: cubic
! Symmetry: F-43m (216)
! Raw total energy: -60.696 eV per atom
! Formation energy from the elements: 379 meV per atom
&SYSTEM
  ibrav = 0, nat = 4, ntyp = 3
/
ATOMIC_SPECIES
Mo 95.94 Mo.upf
Ir 192.22 Ir.upf
Au 196.97 Au.upf
CELL_PARAMETERS angstrom
0.000 3.167 3.167
3.167 0.000 3.167
3.167 3.167 0.000
ATOMIC_POSITIONS crystal
Mo 0.000 0.000 0.000
Ir 0.250 0.250 0.250
Au 0.500 0.500 0.500
Au 0.750 0.750 0.750



! Si2BPBr, PBEsol geometry, DFT meta-GGA SCAN; values from VASP
! Crystal system: tetragonal
! Symmetry: P4/mmm (123)
! Raw total energy: -10.335 eV per atom
&SYSTEM
  ibrav = 0, nat = 5, ntyp = 4
/
ATOMIC_SPECIES
Si 28.09 Si.upf
B 10.81 B.upf
P 30.97 P.upf
Br 79.90 Br.upf
CELL_PARAMETERS angstrom
4.945 0.000 0.000
0.000 4.945 0.000
0.000 0.000 3.608
ATOMIC_POSITIONS crystal
Si 0.000 0.500 0.000
Si 0.500 0.000 0.000
B 0.000 0.000 0.500
P 0.000 0.000 0.000
Br 0.500 0.500 0.500



! TiGePd, PBEsol geometry, DFT meta-GGA SCAN; values from VASP
! Crystal system: orthorhombic
! Symmetry: Pnma (62)
! Raw total energy: -23.459 eV per atom
! Formation energy from the elements: -828 meV per atom
&SYSTEM
  ibrav = 0, nat = 12, ntyp = 3
/
ATOMIC_SPECIES
Ti 47.87 Ti.upf
Ge 72.64 Ge.upf
Pd 106.42 Pd.upf
CELL_PARAMETERS angstrom
6.323 0.000 0.000
0.000 3.828 0.000
0.000 0.000 7.505
ATOMIC_POSITIONS crystal
Ti 0.035 0.250 0.184
Ti 0.465 0.750 0.684
Ti 0.535 0.250 0.316
Ti 0.965 0.750 0.816
Ge 0.243 0.250 0.876
Ge 0.257 0.750 0.376
Ge 0.743 0.250 0.624
Ge 0.757 0.750 0.124
Pd 0.144 0.250 0.561
Pd 0.356 0.750 0.061
Pd 0.644 0.250 0.939
Pd 0.856 0.750 0.439



! LiCo2Si2, PBEsol geometry, DFT meta-GGA SCAN; values from VASP
! Crystal system: tetragonal
! Symmetry: I4/mmm (139)
! Raw total energy: -11.689 eV per atom
&SYSTEM
  ibrav = 0, nat = 5, ntyp = 3
/
ATOMIC_SPECIES
Li 6.94 Li.upf
Co 58.93 Co.upf
Si 28.09 Si.upf
CELL_PARAMETERS angstrom
-1.854 1.854 4.789
1.854 -1.854 4.789
1.854 1.854 -4.789
ATOMIC_POSITIONS crystal
Li 0.000 0.000 0.000
Co 0.250 0.750 0.500
Co 0.750 0.250 0.500
Si 0.376 0.376 0.000
Si 0.624 0.624 0.000



! YAl3, PBEsol geometry, DFT meta-GGA SCAN; values from VASP
! Crystal system: cubic
! Symmetry: Pm-3m (221)
! Raw total energy: -13.211 eV per atom
! Formation energy from the elements: -437 meV per atom
&SYSTEM
  ibrav = 0, nat = 4, ntyp = 2
/
ATOMIC_SPECIES
Y 88.91 Y.upf
Al 26.98 Al.upf
CELL_PARAMETERS angstrom
4.220 0.000 0.000
0.000 4.220 0.000
0.000 0.000 4.220
ATOMIC_POSITIONS crystal
Y 0.000 0.000 0.000
Al 0.000 0.500 0.500
Al 0.500 0.000 0.500
Al 0.500 0.500 0.000



! LaAg2, PBEsol geometry, DFT meta-GGA SCAN; values from VASP
! Crystal system: orthorhombic
! Symmetry: Immm (71)
! Raw total energy: -35.541 eV per atom
! Formation energy from the elements: -261 meV per atom
&SYSTEM
  ibrav = 0, nat = 3, ntyp = 2
/
ATOMIC_SPECIES
La 138.91 La.upf
Ag 107.87 Ag.upf
CELL_PARAMETERS angstrom
-1.798 1.915 4.964
1.798 -1.915 4.964
1.798 1.915 -4.964
ATOMIC_POSITIONS crystal
La 0.000 0.000 0.000
Ag 0.315 0.315 0.000
Ag 0.685 0.685 0.000



! DySi2Au2, PBEsol geometry, DFT meta-GGA SCAN; values from VASP
! Crystal system: tetragonal
! Symmetry: I4/mmm (139)
! Raw total energy: -41.917 eV per atom
&SYSTEM
  ibrav = 0, nat = 5, ntyp = 3
/
ATOMIC_SPECIES
Dy 162.50 Dy.upf
Si 28.09 Si.upf
Au 196.97 Au.upf
CELL_PARAMETERS angstrom
-2.102 2.102 5.065
2.102 -2.102 5.065
2.102 2.102 -5.065
ATOMIC_POSITIONS crystal
Dy 0.000 0.000 0.000
Si 0.387 0.387 0.000
Si 0.613 0.613 0.000
Au 0.250 0.750 0.500
Au 0.750 0.250 0.500



! CaMn2Cu, PBEsol geometry, DFT meta-GGA SCAN; values from VASP
! Crystal system: tetragonal
! Symmetry: P4/mmm (123)
! Raw total energy: -15.199 eV per atom
! Formation energy from the elements: 144 meV per atom
&SYSTEM
  ibrav = 0, nat = 4, ntyp = 3
/
ATOMIC_SPECIES
Ca 40.08 Ca.upf
Mn 54.94 Mn.upf
Cu 63.55 Cu.upf
CELL_PARAMETERS angstrom
3.133 0.000 0.000
0.000 3.133 0.000
0.000 0.000 7.169
ATOMIC_POSITIONS crystal
Ca 0.000 0.000 0.000
Mn 0.500 0.500 0.318
Mn 0.500 0.500 0.682
Cu 0.000 0.000 0.500